A plane-wave DFT calculation with PBE was carried out for an optimized crystal structure of HoIrRhPb.

POSCAR file:
```
HoIrRhPb
1.0
-4.753 0.327 -0.052
-2.446 -1.453 -3.822
-2.662 -3.945 0.233
Ir Rh Ho Pb
1 1 1 1
direct
0.250 0.250 0.250
0.750 0.750 0.750
0.500 0.500 0.500
0.000 0.000 0.000
```


A plane-wave DFT calculation with PBE was carried out for an optimized crystal structure of Ho6Ir2PbSe3.

Output
Uncorrected formation energy   -1.1990 eV/atom

POSCAR file:
```
Ho6Ir2PbSe3
1.0
4.017 0.000 0.000
0.000 8.557 -0.401
-2.009 -3.197 8.889
Pb Ir Ho Se
1 2 6 3
direct
0.500 0.000 0.000
0.154 0.295 0.307
0.846 0.705 0.693
0.002 0.730 0.005
0.324 0.908 0.647
0.676 0.092 0.353
0.317 0.456 0.635
0.998 0.270 0.995
0.683 0.544 0.365
0.835 0.182 0.671
0.165 0.818 0.329
0.500 0.500 0.000
```


A plane-wave DFT calculation with PBE was carried out for an optimized crystal structure of HoTmIrPb.

Output
E above lowest polymorph   205 meV per atom

POSCAR file:
```
HoTmIrPb
1.0
5.093 0.000 0.000
2.546 4.411 0.000
2.546 1.470 4.158
Ho Ir Pb Tm
1 1 1 1
direct
0.750 0.750 0.750
0.000 0.000 0.000
0.500 0.500 0.500
0.250 0.250 0.250
```


A plane-wave DFT calculation with PBE was carried out for an optimized crystal structure of HoTmIrPb.

Output
E above lowest polymorph   0 meV per atom

POSCAR file:
```
HoTmIrPb
1.0
-0.607 2.190 -2.624
-2.965 -1.663 -0.702
-3.900 4.858 4.958
Ho Pb Tm Ir
1 1 1 1
direct
0.500 0.500 0.775
0.000 0.000 0.074
0.500 0.500 0.368
0.000 0.000 0.568
```


A plane-wave DFT calculation with PBE was carried out for an optimized crystal structure of YHoIrPb.

Output
E above lowest polymorph   193 meV per atom

POSCAR file:
```
YHoIrPb
1.0
5.129 0.000 0.000
2.564 4.441 0.000
2.564 1.480 4.187
Pb Ho Y Ir
1 1 1 1
direct
0.250 0.250 0.250
0.500 0.500 0.500
0.000 0.000 0.000
0.750 0.750 0.750
```


A plane-wave DFT calculation with PBE was carried out for an optimized crystal structure of YHoIrPb.

Output
E above lowest polymorph   0 meV per atom

POSCAR file:
```
YHoIrPb
1.0
3.494 0.000 0.000
0.000 3.494 0.000
0.000 0.000 8.014
Y Ir Ho Pb
1 1 1 1
direct
0.500 0.500 0.777
0.000 0.000 0.568
0.500 0.500 0.367
0.000 0.000 0.073
```


no.,energy (eV for the cell shown),V (Å³/atom)
1,-26.17,19.123
2,-73.74,25.036
3,-23.60,23.352
4,-24.42,23.984
5,-25.57,23.846
6,-26.34,24.451